Entry A
A relaxed structure of TmAl2O4, computed with PBE.

The calculation puts the total magnetic moment at 0.0 μB/cell. Its density is 4.83 g/cm3.

It has space group P-42m (No. 111), with a = 4.261 Å, b = 4.261 Å, c = 5.429 Å, α = 90.00°, β = 90.00° and γ = 90.00°. Symmetry generates all atoms from Tm at (0.000, 0.000, 0.000), Al at (0.000, 0.500, 0.500) and O at (0.239, 0.239, 0.317).

***

Entry B
A relaxed structure of TmAl2O4, computed with PBE.

The calculation puts the total magnetic moment at 0.0 μB/cell. Its density is 5.70 g/cm3.

It has space group Fdd2 (No. 43), with a = 9.722 Å, b = 11.070 Å, c = 6.214 Å, α = 90.00°, β = 90.00° and γ = 90.00°. Symmetry generates all atoms from Tm at (0.000, 0.000, 0.000), Al at (0.117, 0.313, 0.822), O at (0.066, 0.127, 0.315) and O at (0.078, 0.153, 0.801).

***

Least stable = entry A